No. 1
ZrCrFeSi2: relaxed, PBE.

Cell and atoms, written as POSCAR:
```
ZrCrFeSi2
1.0
4.3987 0.0000 0.0000
0.0000 4.3987 0.0000
0.0000 0.0000 4.7302
Zr Cr Fe Si
1 1 1 2
direct
0.0000 0.0000 0.0000
0.0000 0.0000 0.5000
0.5000 0.5000 0.0000
0.0000 0.5000 0.5000
0.5000 0.0000 0.5000
```

Magnetization   3.03 μB/f.u.
Space group   P4/mmm
Calculated density   4.631 g/cm3
Energy relative to the elements, uncorrected   622 meV/atom

=====

No. 2
Sm2Cr2Fe15: relaxed, PBE.

Cell and atoms, written as POSCAR:
```
Sm2Cr2Fe15
1.0
4.1934 2.4211 4.1534
-4.1934 2.4211 4.1534
0.0000 -4.8421 4.1534
Sm Cr Fe
2 2 15
direct
0.1572 0.1572 0.1572
0.8428 0.8428 0.8428
0.4134 0.4134 0.4134
0.5866 0.5866 0.5866
0.0000 0.5000 0.5000
0.1616 0.1616 0.6556
0.1616 0.6556 0.1616
0.2020 0.5000 0.7980
0.2020 0.7980 0.5000
0.3444 0.8384 0.8384
0.5000 0.0000 0.5000
0.5000 0.2020 0.7980
0.5000 0.5000 0.0000
0.5000 0.7980 0.2020
0.6556 0.1616 0.1616
0.7980 0.2020 0.5000
0.7980 0.5000 0.2020
0.8384 0.3444 0.8384
0.8384 0.8384 0.3444
```

Magnetization   27.26 μB/f.u.
Space group   R-3m
Calculated density   8.154 g/cm3
Calculated formation energy   0.04 eV/atom

=====

No. 3
SmCr2Fe10: relaxed, PBE.

Cell and atoms, written as POSCAR:
```
SmCr2Fe10
1.0
-2.3335 4.2000 4.2412
2.3335 -4.2000 4.2412
2.3335 4.2000 -4.2412
Sm Cr Fe
1 2 10
direct
0.0000 0.0000 0.0000
0.3691 0.3691 0.0000
0.6309 0.6309 0.0000
0.0000 0.0000 0.5000
0.0000 0.5000 0.0000
0.2279 0.5000 0.7279
0.2322 0.7322 0.5000
0.3594 0.0000 0.3594
0.5000 0.0000 0.0000
0.5000 0.5000 0.5000
0.6406 0.0000 0.6406
0.7678 0.2678 0.5000
0.7721 0.5000 0.2721
```

Magnetization   17.53 μB/f.u.
Space group   Immm
Calculated density   8.118 g/cm3
Calculated formation energy   0.02 eV/atom

=====

No. 4
Cr2FeSn2: relaxed, PBE.

Cell and atoms, written as POSCAR:
```
Cr2FeSn2
1.0
-2.5201 2.5201 3.5837
2.5201 -2.5201 3.5837
2.5201 2.5201 -3.5837
Cr Fe Sn
2 1 2
direct
0.1323 0.1323 0.0000
0.8677 0.8677 0.0000
0.5000 0.5000 0.0000
0.2500 0.7500 0.5000
0.7500 0.2500 0.5000
```

Magnetization   3.91 μB/f.u.
Space group   I4/mmm
Energy relative to the lowest polymorph listed for this composition   268 meV/atom
Calculated density   7.246 g/cm3
Calculated formation energy   0.78 eV/atom

=====

No. 5
Cr2FeSn: relaxed, PBE.

Cell and atoms, written as POSCAR:
```
Cr2FeSn
1.0
-3.4175 3.4175 2.6213
3.4175 -3.4175 2.6213
3.4175 3.4175 -2.6213
Cr Fe Sn
4 2 2
direct
0.0603 0.6250 0.9353
0.3750 0.3103 0.4353
0.6897 0.1250 0.0647
0.8750 0.9397 0.5647
0.0000 0.0000 0.0000
0.7500 0.2500 0.5000
0.2500 0.7500 0.5000
0.5000 0.5000 0.0000
```

Magnetization   1.99 μB/f.u.
Space group   I-42d
Calculated density   7.554 g/cm3
Calculated formation energy   0.65 eV/atom

=====

No. 6
CrFeSn2: relaxed, PBE.

Cell and atoms, written as POSCAR:
```
CrFeSn2
1.0
-3.6917 3.6917 2.9623
3.6917 -3.6917 2.9623
3.6917 3.6917 -2.9623
Cr Fe Sn
2 2 4
direct
0.0000 0.0000 0.0000
0.7500 0.2500 0.5000
0.2500 0.7500 0.5000
0.5000 0.5000 0.0000
0.1431 0.1250 0.5181
0.3750 0.8569 0.9819
0.6069 0.6250 0.4819
0.8750 0.3931 0.0181
```

Magnetization   5.84 μB/f.u.
Space group   I-42d
Energy relative to the lowest polymorph listed for this composition   222 meV/atom
Calculated density   7.100 g/cm3
Calculated formation energy   0.59 eV/atom

=====

No. 7
Cr2Fe2Sn: relaxed, PBE.

Cell and atoms, written as POSCAR:
```
Cr2Fe2Sn
1.0
6.9275 0.0000 0.0000
0.0000 6.9275 0.0000
0.0000 0.0000 2.7202
Cr Fe Sn
4 4 2
direct
0.1569 0.3431 0.0000
0.3431 0.8431 0.0000
0.6569 0.1569 0.0000
0.8431 0.6569 0.0000
0.1280 0.6280 0.5000
0.3720 0.1280 0.5000
0.6280 0.8720 0.5000
0.8720 0.3720 0.5000
0.0000 0.0000 0.5000
0.5000 0.5000 0.5000
```

Magnetization   0.00 μB/f.u.
Space group   P4/mbm
Calculated density   8.507 g/cm3
Calculated formation energy   0.31 eV/atom

=====

No. 8
CrFeSn2: relaxed, PBE.

Cell and atoms, written as POSCAR:
```
CrFeSn2
1.0
0.0000 3.2438 3.2438
3.2438 0.0000 3.2438
3.2438 3.2438 0.0000
Cr Fe Sn
1 1 2
direct
0.0000 0.0000 0.0000
0.5000 0.5000 0.5000
0.2500 0.2500 0.2500
0.7500 0.7500 0.7500
```

Magnetization   4.29 μB/f.u.
Space group   Fm-3m
Energy relative to the lowest polymorph listed for this composition   0 meV/atom
Calculated density   8.398 g/cm3
Calculated formation energy   0.37 eV/atom